# AlPd3Cl

A relaxed structure of AlPd3Cl (GGA-PBEsol, the Alexandria database).

Calculated values
Calculated volume (Å³/f.u.): 95.1
Formation energy (no corrections) (kJ per mole of atoms): 33.7
N(E_F) (states/eV per cell): 1.4
Magnetic moment (μB/cell): 0.000
Total energy (eV/atom): -4.45

a b c (Å): 4.5639 4.5639 4.5639
angles (deg): 90.00 90.00 90.00
Sites, in units of the cell vectors:
Pd 0.0000 0.5000 0.0000
Pd 0.0000 0.0000 0.5000
Pd 0.5000 0.0000 0.0000
Cl 0.5000 0.5000 0.5000
Al 0.0000 0.0000 0.0000

# AlPtCl2

A relaxed structure of AlPtCl2 (GGA-PBEsol, the Alexandria database).

Calculated values
Calculated volume (Å³/f.u.): 67.5
Formation energy (no corrections) (kJ per mole of atoms): 28.5
Energy above the most stable polymorph in this dataset (meV per atom): 908
N(E_F) (states/eV per cell): 2.6
Magnetic moment (μB/cell): 0.001
Total energy (eV/atom): -3.47

a b c (Å): 4.5700 4.5700 4.5700
angles (deg): 60.00 60.00 60.00
Sites, in units of the cell vectors:
Al 0.0000 0.0000 0.0000
Pt 0.5000 0.5000 0.5000
Cl 0.7500 0.7500 0.7500
Cl 0.2500 0.2500 0.2500